# Li4Mo3O8

An optimized crystal structure of Li4Mo3O8 (PBE with a Hubbard U, Alexandria via LeMat-Bulk).

Lattice parameters (Å, degrees): 6.2269 6.2269 14.6566 90.00 90.00 120.00
Space group R-3m (No. 166, hexagonal axes)
Unique sites:
Li: 0.0000 0.0000 0.0000
Li: 0.0000 0.5000 0.0000
Mo: 0.0000 0.5000 0.5000
O: 0.0000 0.0000 0.2493
O: 0.0305 0.5153 0.7572

- Total moment: 6.00 μB per formula unit
- ΔE to the lowest computed polymorph: 21 meV per atom
- Calculated density: 4.5 g/cm³